# Hg8Au

A relaxed structure of Hg8Au (PBE-GGA, Alexandria via LeMat-Bulk).

Cell lengths 8.114, 8.114, 8.114 Å; angles 93.05, 93.05, 153.33 degrees
Atoms (fractional coordinates):
Hg 0.000 0.333 0.333
Hg 0.000 0.667 0.667
Hg 0.333 0.000 0.333
Hg 0.344 0.344 0.688
Hg 0.344 0.656 0.000
Hg 0.656 0.344 0.000
Hg 0.656 0.656 0.312
Hg 0.667 0.000 0.667
Au 0.000 0.000 0.000

Computed properties:
- total magnetic moment (μB/f.u.) = 0.0
- symmetry = No. 139



# YRuW2

A relaxed structure of YRuW2 (PBE-GGA, Alexandria via LeMat-Bulk).

Cell lengths 5.110, 5.110, 5.239 Å; angles 109.21, 109.21, 35.69 degrees
Atoms (fractional coordinates):
Y 0.000 0.000 0.000
Ru 0.766 0.766 0.286
W 0.216 0.216 0.672
W 0.492 0.492 0.491

Computed properties:
- ΔE to the lowest computed polymorph (eV/f.u.) = 0.80
- total magnetic moment (μB/f.u.) = 0.0
- symmetry = No. 8



# Tl2CdSb2

A relaxed structure of Tl2CdSb2 (PBE-GGA, Alexandria via LeMat-Bulk).

Cell lengths 9.382, 9.382, 3.472 Å; angles 90.00, 90.00, 90.00 degrees
Atoms (fractional coordinates):
Tl 0.140 0.360 0.000
Tl 0.360 0.860 0.000
Tl 0.640 0.140 0.000
Tl 0.860 0.640 0.000
Cd 0.000 0.000 0.000
Cd 0.500 0.500 0.000
Sb 0.158 0.658 0.500
Sb 0.342 0.158 0.500
Sb 0.658 0.842 0.500
Sb 0.842 0.342 0.500

Computed properties:
- ΔE to the lowest computed polymorph (eV/f.u.) = 0.92
- total magnetic moment (μB/f.u.) = 0.0
- symmetry = No. 127



Total energy list, top to bottom, in eV/atom: -0.559, -10.040, -2.573